# HgRuBrO4

A geometry-optimized HgRuBrO4 structure (PBE-GGA, the Alexandria database).

Computed properties:
E_form (uncorrected)	-0.516	eV per atom
calculated volume	24.8	Å³/atom

a = 6.475 Å, b = 6.475 Å, c = 8.536 Å
α = 80.73°, β = 80.73°, γ = 84.21°
Element x y z (fractional)
O1 0.808 0.503 0.870
O2 0.192 0.497 0.130
O3 0.503 0.808 0.870
Br1 0.984 0.984 0.235
O4 0.297 0.297 0.433
O5 0.703 0.703 0.567
O6 0.581 0.581 0.225
O7 0.497 0.192 0.130
Ru1 0.604 0.604 0.759
Hg1 0.197 0.197 0.960
Hg2 0.803 0.803 0.040
Br2 0.016 0.016 0.765
Ru2 0.396 0.396 0.241
O8 0.419 0.419 0.775